Record 1
# GGA-PBE LiTaHg, optimized geometry
# Mass density = 11.15 Mg/m³
# Energy above the most stable polymorph in this dataset = 507 meV per atom
# VASP energy = -4.1539 eV per atom
# Formation energy from the elements = 536 meV per atom
data_LiTaHg
_chemical_formula_sum 'Li1 Ta1 Hg1'
_cell_length_a 4.8546
_cell_length_b 4.8546
_cell_length_c 2.8343
_cell_angle_alpha 90.00
_cell_angle_beta 90.00
_cell_angle_gamma 120.00
_symmetry_space_group_name_H-M 'P -6 m 2'
_symmetry_Int_Tables_number 187
_symmetry_space_group_name_Hall 'P -6 2'
loop_
_atom_site_label
_atom_site_fract_x
_atom_site_fract_y
_atom_site_fract_z
Li1 0.0000 0.0000 0.0000
Ta1 0.6667 0.3333 0.5000
Hg1 0.3333 0.6667 0.5000



Record 2
# GGA-PBE LiTa3Hg, optimized geometry
# Mass density = 14.11 Mg/m³
# Energy above the most stable polymorph in this dataset = 0 meV per atom
# VASP energy = -6.4534 eV per atom
# Formation energy from the elements = 1101 meV per atom
data_LiTa3Hg
_chemical_formula_sum 'Li1 Ta3 Hg1'
_cell_length_a 4.454
_cell_length_b 4.454
_cell_length_c 4.454
_cell_angle_alpha 90.00
_cell_angle_beta 90.00
_cell_angle_gamma 90.00
_symmetry_space_group_name_H-M 'P m -3 m'
_symmetry_Int_Tables_number 221
_symmetry_space_group_name_Hall '-P 4 2 3'
loop_
_atom_site_label
_atom_site_fract_x
_atom_site_fract_y
_atom_site_fract_z
Li1 0.000 0.000 0.000
Ta1 0.000 0.000 0.500
Hg1 0.500 0.500 0.500



Copy entry 2 word for word.
# GGA-PBE LiTa3Hg, optimized geometry
# Mass density = 14.11 Mg/m³
# Energy above the most stable polymorph in this dataset = 0 meV per atom
# VASP energy = -6.4534 eV per atom
# Formation energy from the elements = 1101 meV per atom
data_LiTa3Hg
_chemical_formula_sum 'Li1 Ta3 Hg1'
_cell_length_a 4.454
_cell_length_b 4.454
_cell_length_c 4.454
_cell_angle_alpha 90.00
_cell_angle_beta 90.00
_cell_angle_gamma 90.00
_symmetry_space_group_name_H-M 'P m -3 m'
_symmetry_Int_Tables_number 221
_symmetry_space_group_name_Hall '-P 4 2 3'
loop_
_atom_site_label
_atom_site_fract_x
_atom_site_fract_y
_atom_site_fract_z
Li1 0.000 0.000 0.000
Ta1 0.000 0.000 0.500
Hg1 0.500 0.500 0.500